[1]
Below is an optimized crystal structure of AsS, with properties calculated at the PBE level.

abc: 10.8296 7.5877 18.8183
angles: 90.00 90.00 90.00
Space group Pca2_1 (No. 29)
Unique sites:
As: 0.1077 0.1294 0.0042
As: 0.1082 0.3713 0.9084
As: 0.1231 0.6217 0.0000
As: 0.1234 0.8789 0.9127
As: 0.1502 0.6138 0.2432
As: 0.1515 0.8868 0.6697
As: 0.1685 0.1186 0.2980
As: 0.1695 0.3820 0.6152
S: 0.1330 0.3879 0.1572
S: 0.1342 0.1126 0.7557
S: 0.1396 0.8637 0.1675
S: 0.1409 0.6370 0.7454
S: 0.1744 0.8870 0.3798
S: 0.1750 0.6136 0.5333
S: 0.1918 0.3647 0.3705
S: 0.1926 0.1358 0.5427

Values from the calculation:
The excess energy over the best structure of this formula in the dataset comes out at 0.108 eV/f.u. The uncorrected formation energy comes out at -0.0856 eV/atom. The calculation puts the total energy at -286.340 eV per cell.


[2]
Below is an optimized crystal structure of AsS, with properties calculated at the PBE level.

abc: 7.6462 11.2099 13.6029
angles: 90.00 119.51 90.00
Space group P2_1/c (No. 14)
Unique sites:
As: 0.1549 0.0347 0.3874
As: 0.1820 0.0633 0.7445
As: 0.1863 0.7286 0.4702
As: 0.2739 0.5858 0.7722
S: 0.0568 0.0902 0.8663
S: 0.1439 0.2399 0.6544
S: 0.2651 0.5802 0.0395
S: 0.3391 0.7354 0.3632

Values from the calculation:
The excess energy over the best structure of this formula in the dataset comes out at 0.048 eV/f.u. The uncorrected formation energy comes out at -0.1157 eV/atom. The calculation puts the total energy at -144.133 eV per cell.


[3]
Below is an optimized crystal structure of AsS, with properties calculated at the PBE level.

abc: 10.3941 10.2199 9.2492
angles: 90.00 98.23 90.00
Space group P2_1/c (No. 14)
Unique sites:
As: 0.0878 0.0476 0.3063
As: 0.1487 0.6487 0.6608
As: 0.3211 0.1260 0.0476
As: 0.3646 0.6354 0.8310
S: 0.1759 0.2108 0.1861
S: 0.2000 0.5533 0.4615
S: 0.2495 0.5239 0.9856
S: 0.4674 0.0185 0.2129

Values from the calculation:
The excess energy over the best structure of this formula in the dataset comes out at 0.047 eV/f.u. The uncorrected formation energy comes out at -0.1163 eV/atom. The calculation puts the total energy at -144.154 eV per cell.


[4]
Below is an optimized crystal structure of AsS, with properties calculated at the PBE level.

abc: 11.3552 5.2734 9.9331
angles: 90.00 90.00 90.00
Space group Cmc2_1 (No. 36)
Unique sites:
As: 0.0000 0.0395 0.0000
As: 0.1970 0.4413 0.4606
S: 0.0000 0.3316 0.8392
S: 0.1623 0.2177 0.1203

Values from the calculation:
The excess energy over the best structure of this formula in the dataset comes out at 0.543 eV/f.u. The uncorrected formation energy comes out at 0.1318 eV/atom. The calculation puts the total energy at -102.161 eV per cell.